<A>
The following is a PBE calculation of crystalline Nd3Sm4Ho4 at its relaxed geometry, from Alexandria via LeMat-Bulk.

The structure in POSCAR format:
```
Nd3Sm4Ho4
1.0
3.517 0.000 -0.648
-1.010 9.743 -5.484
0.227 -0.194 11.104
Nd Sm Ho
3 4 4
Direct
0.900 0.900 0.799
0.100 0.100 0.201
0.000 0.500 0.000
0.668 0.438 0.337
0.332 0.102 0.663
0.332 0.562 0.663
0.668 0.898 0.337
0.762 0.262 0.524
0.238 0.738 0.476
0.500 0.785 0.000
0.500 0.215 0.000
```

Values from the calculation:
As for the symmetry: Immm, No. 71. For the total moment, the calculation gives 0.000 μB per formula unit.

---

<B>
The following is a PBE calculation of crystalline Nd3Sm4Ho4 at its relaxed geometry, from Alexandria via LeMat-Bulk.

The structure in POSCAR format:
```
Nd3Sm4Ho4
1.0
-0.861 5.640 0.674
-5.114 -3.922 1.801
3.955 -0.586 9.952
Nd Sm Ho
3 4 4
Direct
0.409 0.818 0.292
0.409 0.818 0.708
0.254 0.509 0.000
0.752 0.504 0.788
0.752 0.504 0.212
0.886 0.771 0.500
0.959 0.919 0.000
0.614 0.227 0.500
0.556 0.111 0.000
0.104 0.208 0.699
0.104 0.208 0.301
```

Values from the calculation:
As for the symmetry: Amm2, No. 38. For the total moment, the calculation gives 0.000 μB per formula unit.

---

Tell me which of them is the least stable. Sure, it is <A>.